1.
Compound: Pu2Sb2Au15
Source: Alexandria via LeMat-Bulk
Functional: PBE-GGA
Structure: optimized geometry

The space group is R-3m (No. 166, hexagonal axes) and the conventional cell measures 9.8953, 9.8953 and 14.0690 Å, with angles of 90.00, 90.00 and 120.00 degrees. The asymmetric unit holds Pu at (0.0000, 0.0000, 0.1434), Sb at (0.0000, 0.0000, 0.3932), Au at (0.0000, 0.3402, 0.5000), Au at (0.0000, 0.5000, 0.0000) and Au at (0.0098, 0.5049, 0.6695).

The formation energy without anion corrections is -133.9 meV per atom. The calculation puts the uncorrected energy at -88.6 eV per formula unit. Its density of states at the Fermi level is 128.07 states/eV per cell.

2.
Compound: EuZr2
Source: Alexandria via LeMat-Bulk
Functional: PBE-GGA
Structure: optimized geometry

The space group is Fd-3m (No. 227, origin choice 2) and the conventional cell measures 8.794, 8.794 and 8.794 Å, with angles of 90.00, 90.00 and 90.00 degrees. The asymmetric unit holds Eu at (0.125, 0.125, 0.125) and Zr at (0.000, 0.000, 0.500).

The value obtained for the calculated formation energy is 398 meV per atom. The calculation puts the uncorrected energy at -26.2 eV per formula unit. Its density of states at the Fermi level is 45.16 states/eV per cell.

| no. | calculated volume (Å³ per cell) | size of the total moment (μB/cell) |
| --- | --- | --- |
| 1 | 1193 | 34.8 |
| 2 | 680 | 50.7 |